# PBE LiYEr, relaxed
# * V: 27.5 Å³ per atom
# * final energy: -25.35 eV per cell
# * ΔE_f: 0.09 eV per atom
# * magnetic moment: 0.018 μB/cell
data_LiYEr
_cell_length_a 3.624
_cell_length_b 3.624
_cell_length_c 12.550
_cell_angle_alpha 90.00
_cell_angle_beta 90.00
_cell_angle_gamma 90.00
_space_group_name_H-M_alt 'I 4 m m'
_space_group_IT_number 107
_space_group_name_Hall 'I 4 -2'
loop_
_atom_site_label
_atom_site_type_symbol
_atom_site_fract_x
_atom_site_fract_y
_atom_site_fract_z
_atom_site_occupancy
Li1 Li 0.000 0.000 0.000 1
Y1 Y 0.000 0.000 0.344 1
Er1 Er 0.000 0.000 0.652 1


# PBE LiYEr, relaxed
# * V: 28.7 Å³ per atom
# * final energy: -12.58 eV per cell
# * ΔE_f: 0.12 eV per atom
# * magnetic moment: 0.000 μB/cell
data_LiYEr
_cell_length_a 3.4623
_cell_length_b 3.4623
_cell_length_c 8.3071
_cell_angle_alpha 90.00
_cell_angle_beta 90.00
_cell_angle_gamma 120.00
_space_group_name_H-M_alt 'P 3 m 1'
_space_group_IT_number 156
loop_
_space_group_symop_operation_xyz
'x,y,z'
'-y,x-y,z'
'-x+y,-x,z'
'-y,-x,z'
'-x+y,y,z'
'x,x-y,z'
loop_
_atom_site_label
_atom_site_type_symbol
_atom_site_fract_x
_atom_site_fract_y
_atom_site_fract_z
_atom_site_occupancy
Li1 Li 0.0000 0.0000 0.0000 1
Y1 Y 0.3333 0.6667 0.6676 1
Er1 Er 0.6667 0.3333 0.3282 1


# PBE LiYEr, relaxed
# * V: 27.4 Å³ per atom
# * final energy: -25.57 eV per cell
# * ΔE_f: 0.05 eV per atom
# * magnetic moment: 0.015 μB/cell
data_LiYEr
_cell_length_a 3.591
_cell_length_b 3.591
_cell_length_c 12.750
_cell_angle_alpha 90.00
_cell_angle_beta 90.00
_cell_angle_gamma 90.00
_space_group_name_H-M_alt 'P 4/n m m'
_space_group_IT_number 129
loop_
_space_group_symop_operation_xyz
'x,y,z'
'-x,-y,-z'
'-y+1/2,x,z'
'y+1/2,-x,-z'
'-x+1/2,-y+1/2,z'
'x+1/2,y+1/2,-z'
'y,-x+1/2,z'
'-y,x+1/2,-z'
'x+1/2,-y,-z'
'-x+1/2,y,z'
'-y,-x,-z'
'y,x,z'
'-x,y+1/2,-z'
'x,-y+1/2,z'
'y+1/2,x+1/2,-z'
'-y+1/2,-x+1/2,z'
loop_
_atom_site_label
_atom_site_type_symbol
_atom_site_fract_x
_atom_site_fract_y
_atom_site_fract_z
_atom_site_occupancy
Li1 Li 0.250 0.250 0.051 1
Y1 Y 0.250 0.250 0.782 1
Er1 Er 0.250 0.250 0.404 1


# PBE Li2YEr, relaxed
# * V: 25.3 Å³ per atom
# * final energy: -14.28 eV per cell
# * ΔE_f: 0.14 eV per atom
# * magnetic moment: 0.002 μB/cell
data_Li2YEr
_cell_length_a 3.698
_cell_length_b 3.698
_cell_length_c 7.394
_cell_angle_alpha 90.00
_cell_angle_beta 90.00
_cell_angle_gamma 90.00
_space_group_name_H-M_alt 'P 4/m m m'
_space_group_IT_number 123
_space_group_name_Hall '-P 4 2'
loop_
_atom_site_label
_atom_site_type_symbol
_atom_site_fract_x
_atom_site_fract_y
_atom_site_fract_z
_atom_site_occupancy
Li1 Li 0.000 0.000 0.247 1
Y1 Y 0.500 0.500 0.500 1
Er1 Er 0.500 0.500 0.000 1


# PBE LiY2Er, relaxed
# * V: 28.6 Å³ per atom
# * final energy: -19.16 eV per cell
# * ΔE_f: 0.06 eV per atom
# * magnetic moment: 0.000 μB/cell
data_LiY2Er
_cell_length_a 3.608
_cell_length_b 3.608
_cell_length_c 8.803
_cell_angle_alpha 90.00
_cell_angle_beta 90.00
_cell_angle_gamma 90.00
_space_group_name_H-M_alt 'P 4/m m m'
_space_group_IT_number 123
_space_group_name_Hall '-P 4 2'
loop_
_atom_site_label
_atom_site_type_symbol
_atom_site_fract_x
_atom_site_fract_y
_atom_site_fract_z
_atom_site_occupancy
Li1 Li 0.000 0.000 0.000 1
Y1 Y 0.500 0.500 0.224 1
Er1 Er 0.000 0.000 0.500 1


# PBE LiY2Er, relaxed
# * V: 31.5 Å³ per atom
# * final energy: -56.01 eV per cell
# * ΔE_f: 0.18 eV per atom
# * magnetic moment: 0.001 μB/cell
data_LiY2Er
_cell_length_a 3.4609
_cell_length_b 3.4609
_cell_length_c 36.4511
_cell_angle_alpha 90.00
_cell_angle_beta 90.00
_cell_angle_gamma 120.00
_space_group_name_H-M_alt 'R -3 m'
_space_group_IT_number 166
_space_group_name_Hall '-R 3 2"'
loop_
_atom_site_label
_atom_site_type_symbol
_atom_site_fract_x
_atom_site_fract_y
_atom_site_fract_z
_atom_site_occupancy
Li1 Li 0.0000 0.0000 0.0000 1
Y1 Y 0.0000 0.0000 0.0890 1
Er1 Er 0.0000 0.0000 0.5000 1